! PBE Mg4Ag5, optimized geometry; values from VASP
&SYSTEM
  ibrav = 0, nat = 9, ntyp = 2
/
ATOMIC_SPECIES
Ag 107.87 Ag.upf
Mg 24.30 Mg.upf
CELL_PARAMETERS angstrom
3.7671 0.0049 0.0043
1.8849 6.6548 -0.3993
1.8849 0.4806 6.6494
ATOMIC_POSITIONS crystal
Ag 0.6705 0.9965 0.6632
Ag 0.0000 0.9995 0.0005
Ag 0.0000 0.6667 0.3333
Mg 0.3373 0.6655 0.6602
Mg 0.6627 0.6679 0.0065
Ag 0.3295 0.3368 0.0035
Mg 0.6627 0.3398 0.3345
Mg 0.3373 0.9935 0.3321
Ag 0.0000 0.3338 0.6662
! **Spin magnetization**: 0.0 μB per cell
! **ΔE to the lowest computed polymorph**: 14 meV per atom
! **E_form**: -144.7 kJ/mol of formula units